DFT (PBE with a Hubbard U) results for an optimized crystal structure of CrNiPbO4.

Properties
Volume in Å³/cell: 212
Space group: P2_1/m (11)
Total DFT energy (no corrections) in eV per atom: -5.860
Mass density in g/cm3: 6.0

abc: 5.287 5.589 7.370
angles: 90.00 103.39 90.00
Sites, in units of the cell vectors:
Cr (0.137, 0.250, 0.323)
Cr (0.863, 0.750, 0.677)
Ni (0.282, 0.750, 0.511)
Ni (0.718, 0.250, 0.489)
Pb (0.413, 0.250, 0.835)
Pb (0.587, 0.750, 0.165)
O (0.108, 0.250, 0.566)
O (0.201, 0.750, 0.782)
O (0.339, 0.509, 0.317)
O (0.339, 0.991, 0.317)
O (0.661, 0.009, 0.683)
O (0.661, 0.491, 0.683)
O (0.799, 0.250, 0.218)
O (0.892, 0.750, 0.434)



DFT (PBE with a Hubbard U) results for an optimized crystal structure of Pa3VS2O6.

Properties
Volume in Å³/cell: 228
Space group: C2/m (12)
Total DFT energy (no corrections) in eV per atom: -8.794
Mass density in g/cm3: 6.6

abc: 6.979 6.979 5.388
angles: 100.50 100.50 62.65
Sites, in units of the cell vectors:
Pa (0.000, 0.000, 0.000)
Pa (0.000, 0.500, 0.500)
Pa (0.500, 0.000, 0.500)
V (0.500, 0.500, 0.500)
S (0.201, 0.201, 0.839)
S (0.799, 0.799, 0.161)
O (0.141, 0.708, 0.723)
O (0.292, 0.859, 0.277)
O (0.324, 0.324, 0.382)
O (0.676, 0.676, 0.618)
O (0.708, 0.141, 0.723)
O (0.859, 0.292, 0.277)